The following is a PBE calculation of a relaxed structure of CsTl3Rh, from the Alexandria database.

Cell and atoms, written as POSCAR:
```
CsTl3Rh
1.0
3.615 -6.889 0.000
3.615 6.889 0.000
0.000 0.000 6.062
Cs Tl Rh
2 6 2
Cartesian
3.615 5.766 4.547
3.615 -5.766 1.516
1.905 2.543 4.547
1.905 -2.543 1.516
3.615 0.000 0.000
3.615 0.000 3.031
5.324 2.543 4.547
5.324 -2.543 1.516
3.615 2.317 1.516
3.615 -2.317 4.547
```

Calculated values
The value obtained for the total magnetic moment is 0.00 μB/f.u. As for the calculated volume: 301.9 Å³ per cell. As for the energy of formation: 100 meV/atom. The symmetry is Cmcm (63).

---

The following is a PBE calculation of a relaxed structure of MgIn2MoRh, from the Alexandria database.

Cell and atoms, written as POSCAR:
```
MgIn2MoRh
1.0
5.103 0.000 0.000
0.000 5.103 0.000
0.000 0.000 4.855
Mg In Mo Rh
1 2 1 1
Cartesian
0.000 0.000 0.000
0.000 2.552 2.427
2.552 0.000 2.427
2.552 2.552 0.000
2.552 2.552 2.427
```

Calculated values
The value obtained for the total magnetic moment is 2.22 μB/f.u. As for the calculated volume: 126.4 Å³ per cell. As for the energy of formation: 610 meV/atom. The symmetry is P4/mmm (123).

---

The following is a PBE calculation of a relaxed structure of CaCoCl, from the Alexandria database.

Cell and atoms, written as POSCAR:
```
CaCoCl
1.0
5.682 -1.934 0.000
5.682 1.934 0.000
-1.328 0.000 6.008
Ca Co Cl
2 2 2
Cartesian
0.000 0.000 0.000
7.056 0.000 3.731
2.167 0.000 5.709
3.521 0.000 3.989
4.691 0.000 2.051
7.761 0.000 0.804
```

Calculated values
The value obtained for the uncorrected formation energy is -0.57 eV/atom. The value obtained for the total magnetic moment is 1.10 μB/f.u. As for the calculated volume: 132.1 Å³ per cell. The symmetry is Cm (8).

---

The following is a PBE calculation of a relaxed structure of Pm3BiN2, from the Alexandria database.

Cell and atoms, written as POSCAR:
```
Pm3BiN2
1.0
3.498 0.000 0.000
0.000 11.676 0.000
0.000 0.000 6.494
Pm Bi N
6 2 4
Cartesian
0.000 1.044 0.000
0.000 10.632 3.247
1.749 1.870 3.463
1.749 4.430 5.553
1.749 7.246 2.307
1.749 9.806 0.216
0.000 4.302 1.899
0.000 7.374 5.146
0.000 2.889 5.023
0.000 8.787 1.777
1.749 0.051 1.783
1.749 11.626 5.030
```

Calculated values
The value obtained for the uncorrected formation energy is -1.07 eV/atom. The value obtained for the total magnetic moment is 0.00 μB/f.u. As for the calculated volume: 265.2 Å³ per cell. The symmetry is Pmc2_1 (26).

---

The following is a PBE calculation of a relaxed structure of ErPuGa4, from the Alexandria database.

Cell and atoms, written as POSCAR:
```
ErPuGa4
1.0
4.421 0.000 0.000
-2.210 3.829 0.000
0.000 0.000 7.227
Er Pu Ga
1 1 4
Cartesian
0.000 0.000 0.000
0.000 0.000 3.614
0.000 2.552 1.801
0.000 2.552 5.426
2.210 1.276 1.801
2.210 1.276 5.426
```

Calculated values
The value obtained for the total magnetic moment is 5.81 μB/f.u. As for the calculated volume: 122.3 Å³ per cell. As for the energy of formation: -472 meV/atom. The symmetry is P6/mmm (191).

---

The following is a PBE calculation of a relaxed structure of Ta5VH8, from the Alexandria database.

Cell and atoms, written as POSCAR:
```
Ta5VH8
1.0
-3.166 3.166 3.116
3.166 -3.166 3.116
3.166 3.166 -3.116
Ta V H
5 1 8
Cartesian
0.000 0.000 0.000
1.611 -0.825 2.363
2.341 1.555 0.753
1.555 3.991 -0.753
0.825 1.611 3.869
0.000 3.166 1.558
-1.216 2.758 3.516
2.905 1.775 -1.132
4.382 0.408 0.400
0.408 1.950 -0.400
0.261 1.391 1.984
2.758 1.216 2.716
1.391 -0.261 4.248
1.775 3.427 1.132
```

Calculated values
The value obtained for the total magnetic moment is 0.00 μB/f.u. As for the calculated volume: 124.9 Å³ per cell. For the total energy, the calculation gives -6.685 eV per atom. The symmetry is I-4 (82).

---

Repeat the fourth record exactly.
The following is a PBE calculation of a relaxed structure of Pm3BiN2, from the Alexandria database.

Cell and atoms, written as POSCAR:
```
Pm3BiN2
1.0
3.498 0.000 0.000
0.000 11.676 0.000
0.000 0.000 6.494
Pm Bi N
6 2 4
Cartesian
0.000 1.044 0.000
0.000 10.632 3.247
1.749 1.870 3.463
1.749 4.430 5.553
1.749 7.246 2.307
1.749 9.806 0.216
0.000 4.302 1.899
0.000 7.374 5.146
0.000 2.889 5.023
0.000 8.787 1.777
1.749 0.051 1.783
1.749 11.626 5.030
```

Calculated values
The value obtained for the uncorrected formation energy is -1.07 eV/atom. The value obtained for the total magnetic moment is 0.00 μB/f.u. As for the calculated volume: 265.2 Å³ per cell. The symmetry is Pmc2_1 (26).

---

> Look up the calculated volume of the second one.

126.4 Å³ per cell

---

Please write out number 3 again, unchanged.
The following is a PBE calculation of a relaxed structure of CaCoCl, from the Alexandria database.

Cell and atoms, written as POSCAR:
```
CaCoCl
1.0
5.682 -1.934 0.000
5.682 1.934 0.000
-1.328 0.000 6.008
Ca Co Cl
2 2 2
Cartesian
0.000 0.000 0.000
7.056 0.000 3.731
2.167 0.000 5.709
3.521 0.000 3.989
4.691 0.000 2.051
7.761 0.000 0.804
```

Calculated values
The value obtained for the uncorrected formation energy is -0.57 eV/atom. The value obtained for the total magnetic moment is 1.10 μB/f.u. As for the calculated volume: 132.1 Å³ per cell. The symmetry is Cm (8).